The following is a meta-GGA SCAN calculation of a crystal of CrSnGe2Bi relaxed with PBEsol, from Alexandria via LeMat-Bulk.

The formation energy comes out at 0.365 eV per atom. The total magnetization comes out at 0.486 μB/atom.

The space group is P4/mmm (No. 123) and the conventional cell measures 4.7127, 4.7127 and 5.1342 Å, with angles of 90.00, 90.00 and 90.00 degrees. Symmetry generates all atoms from Cr at (0.0000, 0.0000, 0.0000), Sn at (0.0000, 0.0000, 0.5000), Ge at (0.0000, 0.5000, 0.0000) and Bi at (0.5000, 0.5000, 0.5000).